[1]
# SiTe2IF

An optimized crystal structure of SiTe2IF (PBE, the Alexandria database).

The structure belongs to space group P4/mmm (No. 123); the cell edges are 5.2427, 5.2427 and 5.4033 Å and the angles 90.00°, 90.00° and 90.00°. The inequivalent atoms are Si at (0.0000, 0.0000, 0.0000), Te at (0.0000, 0.5000, 0.0000), I at (0.0000, 0.0000, 0.5000) and F at (0.5000, 0.5000, 0.5000).

As for the raw formation energy: 1.287 eV per formula unit. For the polymorph energy (0 for the lowest one), the calculation gives 0 meV/atom.

---

[2]
# Sm2IF

An optimized crystal structure of Sm2IF (PBE, the Alexandria database).

The structure belongs to space group R-3m (No. 166, hexagonal axes); the cell edges are 3.8201, 3.8201 and 28.6709 Å and the angles 90.00°, 90.00° and 120.00°. The inequivalent atoms are Sm at (0.0000, 0.0000, 0.0774), I at (0.0000, 0.0000, 0.5000) and F at (0.0000, 0.0000, 0.0000).

As for the raw formation energy: -6.200 eV per formula unit.

---

[3]
# Sm3I7F

An optimized crystal structure of Sm3I7F (PBE, the Alexandria database).

The structure belongs to space group P3m1 (No. 156); the cell edges are 8.5473, 8.5473 and 7.7738 Å and the angles 90.00°, 90.00° and 120.00°. The inequivalent atoms are Sm at (0.0162, 0.5081, 0.0000), I at (0.1636, 0.3272, 0.2438), I at (0.3333, 0.1666, 0.7651), I at (0.6667, 0.3333, 0.2331) and F at (0.3333, 0.6667, 0.9141).

As for the raw formation energy: -17.721 eV per formula unit.

---

[4]
# Sm2I5F

An optimized crystal structure of Sm2I5F (PBE, the Alexandria database).

The structure belongs to space group Cmcm (No. 63); the cell edges are 3.8376, 16.0629 and 21.8141 Å and the angles 90.00°, 90.00° and 90.00°. The inequivalent atoms are Sm at (0.0000, 0.2448, 0.1627), I at (0.0000, 0.1128, 0.6239), I at (0.0000, 0.3453, 0.5739), I at (0.0000, 0.3948, 0.7500) and F at (0.0000, 0.2155, 0.7500).

As for the raw formation energy: -12.515 eV per formula unit.

---

[5]
# Sm2I2F

An optimized crystal structure of Sm2I2F (PBE, the Alexandria database).

The structure belongs to space group P4/mmm (No. 123); the cell edges are 4.0668, 4.0668 and 14.8601 Å and the angles 90.00°, 90.00° and 90.00°. The inequivalent atoms are Sm at (0.0000, 0.0000, 0.1527), I at (0.0000, 0.0000, 0.3433) and F at (0.0000, 0.0000, 0.0000).

As for the raw formation energy: -5.435 eV per formula unit.

---

[6]
# SmI2F

An optimized crystal structure of SmI2F (PBE, the Alexandria database).

The structure belongs to space group Cm (No. 8); the cell edges are 7.2643, 4.1944 and 8.7789 Å and the angles 90.00°, 105.25° and 90.00°. The inequivalent atoms are Sm at (0.0000, 0.0000, 0.0000), I at (0.0847, 0.5000, 0.7413), I at (0.2489, 0.5000, 0.2587) and F at (0.3334, 0.0000, 0.0000).

As for the raw formation energy: -9.249 eV per formula unit. For the polymorph energy (0 for the lowest one), the calculation gives 0 meV/atom.

---

[7]
# SmIF2

An optimized crystal structure of SmIF2 (PBE, the Alexandria database).

The structure belongs to space group R-3m (No. 166, hexagonal axes); the cell edges are 4.0652, 4.0652 and 17.0177 Å and the angles 90.00°, 90.00° and 120.00°. The inequivalent atoms are Sm at (0.0000, 0.0000, 0.0000), I at (0.0000, 0.0000, 0.5000) and F at (0.0000, 0.0000, 0.3065).

As for the raw formation energy: -12.210 eV per formula unit. For the polymorph energy (0 for the lowest one), the calculation gives 84 meV/atom.

---

[8]
# SmI2F

An optimized crystal structure of SmI2F (PBE, the Alexandria database).

The structure belongs to space group Immm (No. 71); the cell edges are 4.4735, 4.4995 and 15.9118 Å and the angles 90.00°, 90.00° and 90.00°. The inequivalent atoms are Sm at (0.0000, 0.0000, 0.0000), I at (0.0000, 0.5000, 0.3635) and F at (0.0000, 0.5000, 0.0000).

As for the raw formation energy: -9.166 eV per formula unit. For the polymorph energy (0 for the lowest one), the calculation gives 21 meV/atom.

---

[9]
# SmIF2

An optimized crystal structure of SmIF2 (PBE, the Alexandria database).

The structure belongs to space group Cmcm (No. 63); the cell edges are 3.9299, 11.8555 and 7.2448 Å and the angles 90.00°, 90.00° and 90.00°. The inequivalent atoms are Sm at (0.0000, 0.2430, 0.2500), I at (0.0000, 0.0431, 0.7500) and F at (0.0000, 0.3027, 0.5728).

As for the raw formation energy: -12.545 eV per formula unit. For the polymorph energy (0 for the lowest one), the calculation gives 0 meV/atom.

---

[10]
# SnIF

An optimized crystal structure of SnIF (PBE, the Alexandria database).

The structure belongs to space group I4mm (No. 107); the cell edges are 3.7903, 3.7903 and 11.9293 Å and the angles 90.00°, 90.00° and 90.00°. The inequivalent atoms are Sn at (0.0000, 0.0000, 0.0000), I at (0.0000, 0.0000, 0.2330) and F at (0.0000, 0.0000, 0.5077).

As for the raw formation energy: -3.134 eV per formula unit.

---

[11]
# Sn2IF

An optimized crystal structure of Sn2IF (PBE, the Alexandria database).

The structure belongs to space group I-42d (No. 122); the cell edges are 5.4855, 5.4855 and 17.0546 Å and the angles 90.00°, 90.00° and 90.00°. The inequivalent atoms are Sn at (0.1120, 0.2500, 0.1250), I at (0.0000, 0.0000, 0.5000) and F at (0.0000, 0.0000, 0.0000).

As for the raw formation energy: -2.696 eV per formula unit. For the polymorph energy (0 for the lowest one), the calculation gives 0 meV/atom.

---

[12]
# Sn2I2F

An optimized crystal structure of Sn2I2F (PBE, the Alexandria database).

The structure belongs to space group P4/mbm (No. 127); the cell edges are 8.4183, 8.4183 and 4.3745 Å and the angles 90.00°, 90.00° and 90.00°. The inequivalent atoms are Sn at (0.1339, 0.3661, 0.0000), I at (0.1606, 0.6606, 0.5000) and F at (0.0000, 0.0000, 0.5000).

As for the raw formation energy: -1.627 eV per formula unit. For the polymorph energy (0 for the lowest one), the calculation gives 529 meV/atom.

---

[13]
# Sn2IF2

An optimized crystal structure of Sn2IF2 (PBE, the Alexandria database).

The structure belongs to space group Cmcm (No. 63); the cell edges are 4.3652, 10.9910 and 10.0631 Å and the angles 90.00°, 90.00° and 90.00°. The inequivalent atoms are Sn at (0.0000, 0.1258, 0.0910), I at (0.0000, 0.4383, 0.2500) and F at (0.0000, 0.2866, 0.5624).

As for the raw formation energy: -7.004 eV per formula unit. For the polymorph energy (0 for the lowest one), the calculation gives 0 meV/atom.

---

[14]
# Sn2IF

An optimized crystal structure of Sn2IF (PBE, the Alexandria database).

The structure belongs to space group Fm-3m (No. 225); the cell edges are 7.4963, 7.4963 and 7.4963 Å and the angles 90.00°, 90.00° and 90.00°. The inequivalent atoms are Sn at (0.2500, 0.2500, 0.2500), I at (0.0000, 0.0000, 0.0000) and F at (0.0000, 0.0000, 0.5000).

As for the raw formation energy: -1.331 eV per formula unit. For the polymorph energy (0 for the lowest one), the calculation gives 341 meV/atom.

---

[15]
# SnIF

An optimized crystal structure of SnIF (PBE, the Alexandria database).

The structure belongs to space group C2/m (No. 12); the cell edges are 11.9964, 4.2349 and 7.9376 Å and the angles 90.00°, 101.00° and 90.00°. The inequivalent atoms are Sn at (0.2226, 0.0000, 0.2918), I at (0.1104, 0.0000, 0.8046) and F at (0.1787, 0.5000, 0.4487).

As for the raw formation energy: -4.074 eV per formula unit.

---

[16]
# Sn2I2F

An optimized crystal structure of Sn2I2F (PBE, the Alexandria database).

The structure belongs to space group I4/mmm (No. 139); the cell edges are 4.4182, 4.4182 and 16.2607 Å and the angles 90.00°, 90.00° and 90.00°. The inequivalent atoms are Sn at (0.0000, 0.5000, 0.2500), I at (0.0000, 0.0000, 0.0975) and F at (0.0000, 0.0000, 0.5000).

As for the raw formation energy: -0.701 eV per formula unit. For the polymorph energy (0 for the lowest one), the calculation gives 714 meV/atom.

---

[17]
# SnIF

An optimized crystal structure of SnIF (PBE, the Alexandria database).

The structure belongs to space group Fmm2 (No. 42); the cell edges are 4.6241, 7.2736 and 12.3307 Å and the angles 90.00°, 90.00° and 90.00°. The inequivalent atoms are Sn at (0.0000, 0.0000, 0.0000), I at (0.0000, 0.0000, 0.7752) and F at (0.0000, 0.0000, 0.4952).

As for the raw formation energy: -3.279 eV per formula unit.

---

[18]
# SnI2F2

An optimized crystal structure of SnI2F2 (PBE, the Alexandria database).

The structure belongs to space group I4/mmm (No. 139); the cell edges are 4.1529, 4.1529 and 17.0728 Å and the angles 90.00°, 90.00° and 90.00°. The inequivalent atoms are Sn at (0.0000, 0.0000, 0.0000), I at (0.0000, 0.5000, 0.2500) and F at (0.0000, 0.0000, 0.4266).

As for the raw formation energy: -2.189 eV per formula unit. For the polymorph energy (0 for the lowest one), the calculation gives 685 meV/atom.

---

[19]
# Sn2IF2

An optimized crystal structure of Sn2IF2 (PBE, the Alexandria database).

The structure belongs to space group C2/m (No. 12); the cell edges are 9.1198, 4.4902 and 6.4352 Å and the angles 90.00°, 103.90° and 90.00°. The inequivalent atoms are Sn at (0.1583, 0.0000, 0.1814), I at (0.0000, 0.5000, 0.5000) and F at (0.2085, 0.5000, 0.0794).

As for the raw formation energy: -6.927 eV per formula unit. For the polymorph energy (0 for the lowest one), the calculation gives 15 meV/atom.

---

[20]
# Sn3IF5

An optimized crystal structure of Sn3IF5 (PBE, the Alexandria database).

The structure belongs to space group P2_1/c (No. 14); the cell edges are 4.3944, 13.2175 and 14.0003 Å and the angles 90.00°, 107.96° and 90.00°. The inequivalent atoms are Sn at (0.1866, 0.1073, 0.1063), Sn at (0.2037, 0.6515, 0.1329), Sn at (0.2155, 0.6268, 0.8510), I at (0.3919, 0.1212, 0.8820), F at (0.1176, 0.0124, 0.6241), F at (0.1229, 0.2239, 0.6035), F at (0.3162, 0.1014, 0.2753), F at (0.3212, 0.6627, 0.3368) and F at (0.4272, 0.6188, 0.0142).

As for the raw formation energy: -17.896 eV per formula unit.

---

no.,E (eV per atom)
1,-2.768
2,-4.765
3,-4.055
4,-3.947
5,-3.969
6,-4.735
7,-5.555
8,-4.714
9,-5.639
10,-3.520
11,-3.531
12,-2.921
13,-4.060
14,-3.190
15,-3.833
16,-2.736
17,-3.568
18,-2.607
19,-4.045
20,-4.535